VASP calculation (PBE-GGA) on a geometry-optimized NaPaInAu structure.

a = 7.2512 Å, b = 7.2512 Å, c = 7.2512 Å
α = 90.00°, β = 90.00°, γ = 90.00°
Space group F-43m (No. 216)
Asymmetric unit:
Na 0.0000 0.0000 0.0000 [4 per cell]
Pa 0.0000 0.0000 0.5000 [4 per cell]
In 0.2500 0.2500 0.7500 [4 per cell]
Au 0.2500 0.2500 0.2500 [4 per cell]

Values from the calculation:
* crystal system: cubic
* N(E_F): 0.97 states/eV/atom
* calculated formation energy: -0.005 eV/atom